VASP calculation (PBE-GGA) on crystalline GdRh6 at its relaxed geometry.

* DOS(E_F): 1.6682 states/eV per atom
* crystal system: cubic
* uncorrected energy: -7.869 eV/atom
* formation energy: 3.109 eV/f.u.

Cell lengths 6.7431, 6.7431, 6.7431 Å; angles 90.00, 90.00, 90.00 degrees
Fractional positions:
Gd (0.0000, 0.0000, 0.0000)
Gd (0.5000, 0.5000, 0.5000)
Rh (0.0000, 0.2500, 0.5000)
Rh (0.0000, 0.5000, 0.2500)
Rh (0.0000, 0.5000, 0.7500)
Rh (0.0000, 0.7500, 0.5000)
Rh (0.2500, 0.0000, 0.5000)
Rh (0.2500, 0.5000, 0.0000)
Rh (0.5000, 0.0000, 0.2500)
Rh (0.5000, 0.0000, 0.7500)
Rh (0.5000, 0.2500, 0.0000)
Rh (0.5000, 0.7500, 0.0000)
Rh (0.7500, 0.0000, 0.5000)
Rh (0.7500, 0.5000, 0.0000)


VASP calculation (PBE-GGA) on crystalline TaHCl6 at its relaxed geometry.

* distance to the lowest polymorph of the same formula: 0.21 eV/f.u.
* DOS(E_F): 0.0000 states/eV per atom
* crystal system: triclinic
* uncorrected energy: -4.380 eV/atom

Cell lengths 6.4677, 6.7136, 6.9849 Å; angles 63.61, 65.80, 73.68 degrees
Fractional positions:
Ta (0.0000, 0.0000, 0.0000)
H (0.5000, 0.0000, 0.0000)
Cl (0.1951, 0.2657, 0.6630)
Cl (0.2448, 0.7164, 0.8839)
Cl (0.2594, 0.9942, 0.1858)
Cl (0.7406, 0.0058, 0.8142)
Cl (0.7552, 0.2836, 0.1161)
Cl (0.8049, 0.7343, 0.3370)


Q: Among the records above, which one has the highest uncorrected energy?
A: TaHCl6


Q: The highest DOS(E_F) belongs to which entry?
A: GdRh6


Please write out number 2 again, unchanged.
VASP calculation (PBE-GGA) on crystalline TaHCl6 at its relaxed geometry.

* distance to the lowest polymorph of the same formula: 0.21 eV/f.u.
* DOS(E_F): 0.0000 states/eV per atom
* crystal system: triclinic
* uncorrected energy: -4.380 eV/atom

Cell lengths 6.4677, 6.7136, 6.9849 Å; angles 63.61, 65.80, 73.68 degrees
Fractional positions:
Ta (0.0000, 0.0000, 0.0000)
H (0.5000, 0.0000, 0.0000)
Cl (0.1951, 0.2657, 0.6630)
Cl (0.2448, 0.7164, 0.8839)
Cl (0.2594, 0.9942, 0.1858)
Cl (0.7406, 0.0058, 0.8142)
Cl (0.7552, 0.2836, 0.1161)
Cl (0.8049, 0.7343, 0.3370)